Density functional theory data (PBE) for a relaxed structure of TlIrPb2.

Properties
- Energy relative to the lowest polymorph listed for this composition: 0.345 eV per atom
- SG: Cmmm, No. 65
- Theoretical density: 13738 kg/m3
- Energy of formation from the pure elements: 0.533 eV per atom

a = 5.3629 Å, b = 5.3629 Å, c = 3.4967 Å
α = 90.03°, β = 90.03°, γ = 102.91°
Last column: nearest neighbours and their distance in Å.
Fractional coordinates of all 4 atoms:
Pb1 0.0000 0.0000 0.0000  4 Tl 3.20, 4 Ir 3.20, 4 Pb 3.34-3.50
Tl1 0.5000 0.0000 0.5000  8 Pb 3.20, 2 Ir 3.34, 2 Tl 3.50
Pb2 0.5000 0.5000 0.0000  4 Ir 3.20, 4 Tl 3.20, 4 Pb 3.34-3.50
Ir1 0.0000 0.5000 0.5000  8 Pb 3.20, 2 Tl 3.34, 2 Ir 3.50